Compound: Tl6CrI12
Source: the Alexandria database
Functional: PBE
Structure: optimized geometry

The uncorrected formation energy comes out at -0.40 eV per atom.

The space group is R-3 (No. 148, hexagonal axes) and the conventional cell measures 13.5222, 13.5222 and 15.7116 Å, with angles of 90.00, 90.00 and 120.00 degrees. The distinct sites, in fractional coordinates, are Tl at (0.0337, 0.6150, 0.2699), Cr at (0.0000, 0.0000, 0.0000), I at (0.0314, 0.8182, 0.3917) and I at (0.0860, 0.1881, 0.8969).